[1]
Material: SnAu2
Method: DFT, GGA-PBE
State: relaxed

Energy relative to the elements   -0.091 eV/atom
V   62 Å³ per cell
Total energy   -3.610 eV per atom
Space-group type   I4/mmm

Cell: 3.818 3.818 5.047 Å, 112.22 112.22 90.00°
Sites, in units of the cell vectors:
1 Au 0.667 0.667 0.333
2 Au 0.333 0.333 0.667
3 Sn 0.000 0.000 0.000

---

[2]
Material: Sn3Au
Method: DFT, GGA-PBE
State: relaxed

Energy relative to the elements   -0.013 eV/atom
Excess energy over the best structure of this formula in the dataset   57 meV/atom
V   104 Å³ per cell
Total energy   -3.835 eV per atom
Space-group type   Imm2

Cell: 3.496 5.886 6.095 Å, 118.87 106.67 90.00°
Sites, in units of the cell vectors:
1 Au 0.000 0.050 0.000
2 Sn 0.299 0.642 0.599
3 Sn 0.500 0.431 0.000
4 Sn 0.701 0.043 0.401

---

[3]
Material: Sn5Au
Method: DFT, GGA-PBE
State: relaxed

Energy relative to the elements   0.032 eV/atom
Excess energy over the best structure of this formula in the dataset   8 meV/atom
V   165 Å³ per cell
Total energy   -3.850 eV per atom
Space-group type   Cmmm

Cell: 3.778 4.448 9.969 Å, 90.00 100.92 90.00°
Sites, in units of the cell vectors:
1 Sn 0.187 0.500 0.374
2 Sn 0.376 0.000 0.752
3 Sn 0.500 0.500 0.000
4 Sn 0.624 0.000 0.248
5 Sn 0.813 0.500 0.626
6 Au 0.000 0.000 0.000

---

[4]
Material: Sn3Au4
Method: DFT, GGA-PBE
State: relaxed

Energy relative to the elements   -0.102 eV/atom
V   310 Å³ per cell
Total energy   -3.691 eV per atom
Space-group type   I-43d

Cell: 7.383 7.383 7.383 Å, 109.49 109.44 109.49°
Sites, in units of the cell vectors:
1 Sn 0.125 0.375 0.250
2 Sn 0.625 0.750 0.875
3 Sn 0.875 0.250 0.625
4 Sn 0.250 0.875 0.125
5 Sn 0.750 0.625 0.375
6 Sn 0.375 0.125 0.750
7 Au 0.332 0.500 0.000
8 Au 0.500 0.332 0.500
9 Au 0.000 0.000 0.332
10 Au 0.668 0.168 0.168
11 Au 0.000 0.000 0.832
12 Au 0.168 0.668 0.668
13 Au 0.832 0.500 0.000
14 Au 0.500 0.832 0.500